# Pr2Nd3DyY6

A relaxed structure of Pr2Nd3DyY6 (PBE, Alexandria).

Final energy (eV/f.u.): -67.13
ΔH_f (0 K) (meV/atom): 10

abc: 6.2809 6.2809 11.9079
angles: 95.03 95.03 119.98
Last column: nearest neighbours and their distance in Å.
Fractional coordinates of all 12 atoms:
Pr (0.1665, 0.8335, 0.0000)  6 Y 3.60, 3 Pr 3.62-3.63, 3 Dy 3.63
Pr (0.8335, 0.1665, 0.0000)  6 Y 3.60, 3 Pr 3.62-3.63, 3 Dy 3.63
Nd (0.0000, 0.0000, 0.5000)  6 Y 3.60-3.61, 6 Nd 3.62-3.63
Nd (0.3332, 0.6668, 0.5000)  6 Y 3.60-3.61, 6 Nd 3.62-3.63
Nd (0.6668, 0.3332, 0.5000)  6 Y 3.60-3.61, 6 Nd 3.62-3.63
Dy (0.5000, 0.5000, 0.0000)  6 Y 3.60, 6 Pr 3.63
Y (0.0842, 0.4170, 0.7504)  1 Dy 3.60, 2 Pr 3.60, 3 Nd 3.60-3.61, 6 Y 3.62-3.63
Y (0.2505, 0.2505, 0.2499)  1 Dy 3.60, 2 Pr 3.60, 3 Nd 3.60, 6 Y 3.62-3.63
Y (0.4170, 0.0842, 0.7504)  1 Dy 3.60, 2 Pr 3.60, 3 Nd 3.60-3.61, 6 Y 3.62-3.63
Y (0.5830, 0.9158, 0.2496)  1 Dy 3.60, 2 Pr 3.60, 3 Nd 3.60-3.61, 6 Y 3.62-3.63
Y (0.7495, 0.7495, 0.7501)  1 Dy 3.60, 2 Pr 3.60, 3 Nd 3.60, 6 Y 3.62-3.63
Y (0.9158, 0.5830, 0.2496)  1 Dy 3.60, 2 Pr 3.60, 3 Nd 3.60-3.61, 6 Y 3.62-3.63